1.
Tl2PdW2, relaxed, DFT PBE-GGA; formation energy from the elements = 18.85 kcal/mol of atoms; D(E_F) = 0.450 states/eV/atom; SG = No. 139
1.0
-1.2101 -1.7119 2.9940
0.2512 -3.2082 -1.7329
6.8621 -3.2454 3.1487
Tl Pd W
2 1 2
Direct
0.4028 0.4028 0.1944
0.5972 0.5972 0.8056
0.0000 0.0000 0.0000
0.7500 0.2500 0.5000
0.2500 0.7500 0.5000

---

2.
Y3TlPd2, relaxed, DFT PBE-GGA; formation energy from the elements = -16.40 kcal/mol of atoms; D(E_F) = 0.531 states/eV/atom; SG = No. 123
1.0
3.5702 0.0000 0.0000
0.0000 3.5702 0.0000
0.0000 0.0000 11.1539
Y Tl Pd
3 1 2
Direct
0.0000 0.0000 0.0000
0.0000 0.0000 0.6899
0.0000 0.0000 0.3101
0.5000 0.5000 0.5000
0.5000 0.5000 0.8404
0.5000 0.5000 0.1596

---

3.
YTl3Pd12, relaxed, DFT PBE-GGA; formation energy from the elements = -8.18 kcal/mol of atoms; D(E_F) = 1.111 states/eV/atom; SG = No. 123
1.0
4.0881 0.0000 0.0000
0.0000 4.0881 0.0000
0.0000 0.0000 16.4791
Y Tl Pd
1 3 12
Direct
0.0000 0.0000 0.0000
0.0000 0.0000 0.2532
0.0000 0.0000 0.5000
0.0000 0.0000 0.7468
0.5000 0.5000 0.0000
0.5000 0.5000 0.2498
0.5000 0.5000 0.5000
0.5000 0.5000 0.7502
0.5000 0.0000 0.1269
0.5000 0.0000 0.3759
0.5000 0.0000 0.6241
0.5000 0.0000 0.8731
0.0000 0.5000 0.1269
0.0000 0.5000 0.3759
0.0000 0.5000 0.6241
0.0000 0.5000 0.8731

---

4.
YTlPd, relaxed, DFT PBE-GGA; formation energy from the elements = 3.82 kcal/mol of atoms; ΔE to the lowest computed polymorph = 824 meV/atom; D(E_F) = 1.131 states/eV/atom; SG = No. 107
1.0
3.3205 0.0000 0.0000
0.0000 3.3205 0.0000
-1.6602 -1.6602 7.4496
Y Tl Pd
1 1 1
Direct
0.9381 0.9381 0.8763
0.1487 0.1487 0.2973
0.7632 0.7632 0.5264

---

5.
Y3TlPd, relaxed, DFT PBE-GGA; formation energy from the elements = -5.08 kcal/mol of atoms; ΔE to the lowest computed polymorph = 201 meV/atom; D(E_F) = 1.705 states/eV/atom; SG = No. 221
1.0
5.4073 0.0000 0.0000
0.0000 5.4073 0.0000
0.0000 0.0000 5.4073
Y Tl Pd
3 1 1
Direct
0.0000 0.5000 0.0000
0.0000 0.0000 0.5000
0.5000 0.0000 0.0000
0.5000 0.5000 0.5000
0.0000 0.0000 0.0000

---

6.
YTl2Pd, relaxed, DFT PBE-GGA; formation energy from the elements = -7.44 kcal/mol of atoms; D(E_F) = 0.766 states/eV/atom; SG = No. 123
1.0
4.7820 0.0000 0.0000
0.0000 4.4426 0.0000
0.0000 0.0000 4.4426
Y Tl Pd
1 2 1
Direct
0.5000 0.0000 0.0000
0.0000 0.0000 0.5000
0.0000 0.5000 0.0000
0.5000 0.5000 0.5000

---

7.
Y3Tl2Pd8, relaxed, DFT PBE-GGA; formation energy from the elements = -10.92 kcal/mol of atoms; D(E_F) = 0.586 states/eV/atom; SG = No. 166
1.0
-4.2968 2.7181 1.9626
-3.3278 -2.3912 3.5931
3.2613 3.6839 9.6052
Y Tl Pd
3 2 8
Direct
0.0000 0.0000 0.0000
0.8101 0.8101 0.5696
0.1899 0.1899 0.4304
0.6332 0.6332 0.1005
0.3668 0.3668 0.8995
0.7195 0.7195 0.8414
0.2805 0.2805 0.1586
0.2232 0.7294 0.3180
0.7294 0.2232 0.3180
0.7294 0.7294 0.3180
0.2706 0.7768 0.6820
0.7768 0.2706 0.6820
0.2706 0.2706 0.6820

---

8.
Y4TlPd15, relaxed, DFT PBE-GGA; formation energy from the elements = -16.64 kcal/mol of atoms; D(E_F) = 0.723 states/eV/atom; SG = No. 123
1.0
4.1261 0.0000 0.0000
0.0000 4.1261 0.0000
0.0000 0.0000 20.6037
Y Tl Pd
4 1 15
Direct
0.0000 0.0000 0.1980
0.0000 0.0000 0.3995
0.0000 0.0000 0.6005
0.0000 0.0000 0.8020
0.0000 0.0000 0.0000
0.5000 0.5000 0.0000
0.5000 0.5000 0.1987
0.5000 0.5000 0.3990
0.5000 0.5000 0.6010
0.5000 0.5000 0.8013
0.5000 0.0000 0.0983
0.5000 0.0000 0.2991
0.5000 0.0000 0.5000
0.5000 0.0000 0.7009
0.5000 0.0000 0.9017
0.0000 0.5000 0.0983
0.0000 0.5000 0.2991
0.0000 0.5000 0.5000
0.0000 0.5000 0.7009
0.0000 0.5000 0.9017

---

9.
Y3TlPd, relaxed, DFT PBE-GGA; formation energy from the elements = -9.72 kcal/mol of atoms; ΔE to the lowest computed polymorph = 0 meV/atom; D(E_F) = 1.034 states/eV/atom; SG = No. 15
1.0
-0.8717 5.7941 4.6721
-0.1339 -5.5236 6.8247
8.5789 -0.2107 1.8612
Y Tl Pd
12 4 4
Direct
0.5937 0.8062 0.9728
0.9063 0.0272 0.1938
0.4063 0.1938 0.0272
0.0937 0.9728 0.8062
0.7850 0.4336 0.0662
0.7150 0.9338 0.5664
0.2150 0.5664 0.9338
0.2850 0.0662 0.4336
0.5937 0.5281 0.6938
0.9063 0.3062 0.4719
0.4063 0.4719 0.3062
0.0937 0.6938 0.5281
0.2500 0.8172 0.1828
0.7500 0.1828 0.8172
0.2500 0.3179 0.6821
0.7500 0.6821 0.3179
0.8835 0.6912 0.8095
0.6165 0.1905 0.3088
0.1165 0.3088 0.1905
0.3835 0.8095 0.6912

---

10.
Y2Tl2Pd, relaxed, DFT PBE-GGA; formation energy from the elements = -9.02 kcal/mol of atoms; ΔE to the lowest computed polymorph = 0 meV/atom; D(E_F) = 0.705 states/eV/atom; SG = No. 127
1.0
-5.5008 -4.1898 -2.8542
4.2772 -6.0965 0.7061
-1.6534 -0.6760 4.1788
Y Tl Pd
4 4 2
Direct
0.1662 0.6662 0.5000
0.6662 0.8338 0.5000
0.8338 0.3338 0.5000
0.3338 0.1662 0.5000
0.3576 0.8576 0.0000
0.8576 0.6424 0.0000
0.6424 0.1424 0.0000
0.1424 0.3576 0.0000
0.0000 0.0000 0.0000
0.5000 0.5000 0.0000

---

11.
Y6TlPd2, relaxed, DFT PBE-GGA; formation energy from the elements = -12.08 kcal/mol of atoms; D(E_F) = 0.995 states/eV/atom; SG = No. 71
1.0
8.6199 -0.0471 -0.0771
-3.3095 7.9594 0.0771
-2.9128 -3.7832 7.1773
Y Tl Pd
12 2 4
Direct
0.5271 0.7100 0.8171
0.4729 0.2900 0.1829
0.1071 0.2900 0.8171
0.8929 0.7100 0.1829
0.7997 0.7637 0.5634
0.2003 0.2363 0.4366
0.2003 0.7637 0.9640
0.7997 0.2363 0.0360
0.6995 0.3717 0.6722
0.3005 0.6283 0.3278
0.3005 0.9726 0.6722
0.6995 0.0274 0.3278
0.0000 0.5000 0.5000
0.0000 0.0000 0.0000
0.5000 0.3672 0.8672
0.5000 0.6328 0.1328
0.6529 0.0000 0.6529
0.3471 0.0000 0.3471

---

12.
YTlPd2, relaxed, DFT PBE-GGA; formation energy from the elements = -7.09 kcal/mol of atoms; D(E_F) = 0.486 states/eV/atom; SG = No. 122
1.0
7.6468 0.0000 0.0000
0.0000 7.6468 0.0000
3.8234 3.8234 3.0678
Y Tl Pd
2 2 4
Direct
0.5000 0.5000 0.0000
0.2500 0.7500 0.5000
0.0000 0.0000 0.0000
0.7500 0.2500 0.5000
0.6266 0.1250 0.2500
0.1234 0.6250 0.2500
0.3750 0.3734 0.7500
0.8750 0.8766 0.7500

---

13.
YTl3Pd, relaxed, DFT PBE-GGA; formation energy from the elements = 19.84 kcal/mol of atoms; ΔE to the lowest computed polymorph = 783 meV/atom; D(E_F) = 1.663 states/eV/atom; SG = No. 221
1.0
5.8345 0.0000 0.0000
0.0000 5.8345 0.0000
0.0000 0.0000 5.8345
Y Tl Pd
1 3 1
Direct
0.0000 0.0000 0.0000
0.0000 0.5000 0.0000
0.0000 0.0000 0.5000
0.5000 0.0000 0.0000
0.5000 0.5000 0.5000

---

14.
Y4TlPd2, relaxed, DFT PBE-GGA; formation energy from the elements = -10.70 kcal/mol of atoms; D(E_F) = 0.859 states/eV/atom; SG = No. 166
1.0
4.7908 0.0000 0.0000
2.3954 4.1490 0.0000
2.3954 1.3830 9.7117
Y Tl Pd
4 1 2
Direct
0.7027 0.7027 0.8918
0.8837 0.8837 0.3488
0.2973 0.2973 0.1082
0.1163 0.1163 0.6512
0.5000 0.5000 0.5000
0.6007 0.6007 0.1978
0.3993 0.3993 0.8022

---

15.
YTlPd3, relaxed, DFT PBE-GGA; formation energy from the elements = 4.99 kcal/mol of atoms; ΔE to the lowest computed polymorph = 837 meV/atom; D(E_F) = 0.628 states/eV/atom; SG = No. 221
1.0
5.0085 0.0000 0.0000
0.0000 5.0085 0.0000
0.0000 0.0000 5.0085
Y Tl Pd
1 1 3
Direct
0.5000 0.5000 0.5000
0.0000 0.0000 0.0000
0.0000 0.5000 0.0000
0.0000 0.0000 0.5000
0.5000 0.0000 0.0000

---

16.
Y3Tl2Pd, relaxed, DFT PBE-GGA; formation energy from the elements = -11.55 kcal/mol of atoms; D(E_F) = 0.736 states/eV/atom; SG = No. 62
1.0
-2.1276 -2.9136 3.4807
-1.0603 -6.7968 -6.3377
11.9122 -4.8570 3.2159
Y Tl Pd
12 8 4
Direct
0.2500 0.4107 0.0770
0.7500 0.5893 0.9230
0.7500 0.9107 0.4230
0.2500 0.0893 0.5770
0.2500 0.7477 0.2596
0.7500 0.2523 0.7404
0.7500 0.2477 0.2404
0.2500 0.7523 0.7596
0.2500 0.4278 0.3917
0.7500 0.5722 0.6083
0.7500 0.9278 0.1083
0.2500 0.0722 0.8917
0.2500 0.7241 0.5070
0.7500 0.2759 0.4930
0.7500 0.2241 0.9930
0.2500 0.7759 0.0070
0.2500 0.0759 0.3229
0.7500 0.9241 0.6771
0.7500 0.5759 0.1771
0.2500 0.4241 0.8229
0.2500 0.1133 0.1093
0.7500 0.8867 0.8907
0.7500 0.6133 0.3907
0.2500 0.3867 0.6093

---

17.
Y5TlPd4, relaxed, DFT PBE-GGA; formation energy from the elements = -17.76 kcal/mol of atoms; D(E_F) = 0.686 states/eV/atom; SG = No. 123
1.0
3.5728 0.0000 0.0000
0.0000 3.5728 0.0000
0.0000 0.0000 17.9705
Y Tl Pd
5 1 4
Direct
0.5000 0.5000 0.1171
0.5000 0.5000 0.3077
0.5000 0.5000 0.5000
0.5000 0.5000 0.6923
0.5000 0.5000 0.8829
0.0000 0.0000 0.0000
0.0000 0.0000 0.2102
0.0000 0.0000 0.4043
0.0000 0.0000 0.5957
0.0000 0.0000 0.7898

---

18.
YTlPd, relaxed, DFT PBE-GGA; formation energy from the elements = -14.85 kcal/mol of atoms; ΔE to the lowest computed polymorph = 14 meV/atom; D(E_F) = 0.617 states/eV/atom; SG = No. 51
1.0
-0.7158 3.0248 2.1265
1.9945 -4.0912 6.4907
13.0959 4.1080 -1.4348
Y Pd Tl
6 6 6
Direct
0.0000 0.2248 0.9495
0.0000 0.7752 0.0505
0.0000 0.2248 0.5505
0.0000 0.7752 0.4495
0.0000 0.1639 0.2500
0.0000 0.8361 0.7500
0.5000 0.0655 0.0935
0.5000 0.9345 0.9065
0.5000 0.0655 0.4065
0.5000 0.9345 0.5935
0.0000 0.5539 0.2500
0.0000 0.4461 0.7500
0.5000 0.4292 0.1112
0.5000 0.5708 0.8888
0.5000 0.4292 0.3888
0.5000 0.5708 0.6112
0.5000 0.8218 0.2500
0.5000 0.1782 0.7500

---

19.
Y6TlPd, relaxed, DFT PBE-GGA; formation energy from the elements = -1.28 kcal/mol of atoms; D(E_F) = 1.357 states/eV/atom; SG = No. 2
1.0
7.1067 0.0145 -0.0033
3.5503 6.1752 0.0049
3.5300 2.0516 6.0221
Y Tl Pd
6 1 1
Direct
0.0370 0.4300 0.7550
0.7775 0.0353 0.7546
0.5696 0.2215 0.2453
0.2225 0.9647 0.2454
0.9630 0.5700 0.2450
0.4304 0.7785 0.7547
0.5000 0.5000 0.5000
0.0000 0.0000 0.0000

---

20.
Y4TlPd, relaxed, DFT PBE-GGA; formation energy from the elements = -8.82 kcal/mol of atoms; ΔE to the lowest computed polymorph = 35 meV/atom; D(E_F) = 1.433 states/eV/atom; SG = No. 15
1.0
6.0446 -0.2467 0.0000
-1.8427 8.2416 0.0000
-2.1009 -3.9975 6.8994
Y Tl Pd
8 2 2
Direct
0.0348 0.2121 0.8547
0.7815 0.7030 0.6397
0.3198 0.6426 0.8547
0.3582 0.9367 0.6397
0.6418 0.0633 0.3603
0.6802 0.3574 0.1453
0.2185 0.2970 0.3603
0.9652 0.7879 0.1453
0.3762 0.6262 0.2524
0.6238 0.3738 0.7476
0.2495 0.9995 0.9989
0.7505 0.0005 0.0011